# 1
{
  "formula": "Y2Al3Fe",
  "functional": "SCAN",
  "state": "single point on PBEsol structure",
  "formation_enthalpy_0k_ev_per_atom": -0.4664,
  "space_group": "No. 166",
  "n_ef_per_ev_cell": 4.380,
  "cell": [[5.341, -0.026, -0.019], [2.566, 4.684, -0.019], [2.566, 1.512, 4.434]],
  "species": ["Fe", "Y", "Y", "Al", "Al", "Al"],
  "fractional_positions": [[0.000, 0.000, 0.000], [0.374, 0.374, 0.374], [0.626, 0.626, 0.626], [0.000, 0.500, 0.000], [0.000, 0.000, 0.500], [0.500, 0.000, 0.000]]
}

# 2
{
  "formula": "YAlFe2",
  "functional": "SCAN",
  "state": "single point on PBEsol structure",
  "formation_enthalpy_0k_ev_per_atom": -0.1175,
  "space_group": "No. 99",
  "n_ef_per_ev_cell": 2.348,
  "cell": [[3.034, 0.000, 0.000], [0.000, 3.034, 0.000], [0.000, 0.000, 6.867]],
  "species": ["Fe", "Y", "Fe", "Al"],
  "fractional_positions": [[0.500, 0.500, 0.189], [0.000, 0.000, 0.475], [0.000, 0.000, 0.020], [0.500, 0.500, 0.816]]
}

# 3
{
  "formula": "AlZnFe",
  "functional": "SCAN",
  "state": "single point on PBEsol structure",
  "formation_enthalpy_0k_ev_per_atom": 0.1694,
  "space_group": "No. 216",
  "n_ef_per_ev_cell": 2.006,
  "cell": [[4.004, 0.000, 0.000], [2.002, 3.468, 0.000], [2.002, 1.156, 3.269]],
  "species": ["Zn", "Fe", "Al"],
  "fractional_positions": [[0.000, 0.000, 0.000], [0.250, 0.250, 0.250], [0.500, 0.500, 0.500]]
}

# 4
{
  "formula": "Al2ZnFe",
  "functional": "SCAN",
  "state": "single point on PBEsol structure",
  "formation_enthalpy_0k_ev_per_atom": -0.2289,
  "space_group": "No. 123",
  "n_ef_per_ev_cell": 1.171,
  "cell": [[2.940, 0.000, 0.000], [0.000, 2.940, 0.000], [0.000, 0.000, 5.957]],
  "species": ["Al", "Al", "Fe", "Zn"],
  "fractional_positions": [[0.000, 0.000, 0.780], [0.000, 0.000, 0.220], [0.500, 0.500, 0.000], [0.500, 0.500, 0.500]]
}

# 5
{
  "formula": "Al2ZnFe",
  "functional": "SCAN",
  "state": "single point on PBEsol structure",
  "formation_enthalpy_0k_ev_per_atom": -0.2039,
  "space_group": "No. 123",
  "n_ef_per_ev_cell": 1.049,
  "cell": [[3.207, 0.000, 0.000], [0.000, 3.998, 0.000], [0.000, 0.000, 3.998]],
  "species": ["Fe", "Zn", "Al", "Al"],
  "fractional_positions": [[0.500, 0.500, 0.500], [0.500, 0.000, 0.000], [0.000, 0.000, 0.500], [0.000, 0.500, 0.000]]
}

# 6
{
  "formula": "Al2ZnFe",
  "functional": "SCAN",
  "state": "single point on PBEsol structure",
  "formation_enthalpy_0k_ev_per_atom": -0.1642,
  "space_group": "No. 25",
  "n_ef_per_ev_cell": 1.747,
  "cell": [[-0.145, -1.631, -2.103], [4.061, -1.315, 0.740], [-1.559, -3.310, 2.674]],
  "species": ["Zn", "Al", "Al", "Fe"],
  "fractional_positions": [[0.500, 0.500, 0.206], [0.000, 0.000, 0.055], [0.000, 0.500, 0.688], [0.500, 0.000, 0.551]]
}

# 7
{
  "formula": "ZrAl6Fe2",
  "functional": "SCAN",
  "state": "single point on PBEsol structure",
  "formation_enthalpy_0k_ev_per_atom": -0.0040,
  "space_group": "No. 189",
  "n_ef_per_ev_cell": 7.058,
  "cell": [[-1.776, -1.917, -0.752], [0.720, -3.320, 6.764], [-5.284, 5.314, -1.065]],
  "species": ["Al", "Al", "Al", "Fe", "Al", "Zr", "Al", "Fe", "Al"],
  "fractional_positions": [[0.500, 0.000, 0.325], [0.000, 0.000, 0.626], [0.000, 0.626, 0.000], [0.500, 0.333, 0.667], [0.500, 0.325, 0.000], [0.000, 0.000, 0.000], [0.500, 0.675, 0.675], [0.500, 0.667, 0.333], [0.000, 0.374, 0.374]]
}

# 8
{
  "formula": "ZrAl6Fe6",
  "functional": "SCAN",
  "state": "single point on PBEsol structure",
  "formation_enthalpy_0k_ev_per_atom": -0.4554,
  "space_group": "No. 71",
  "n_ef_per_ev_cell": 5.509,
  "cell": [[-4.871, -0.356, 0.153], [-2.085, -5.775, -1.810], [-2.119, -2.123, 5.655]],
  "species": ["Al", "Fe", "Zr", "Al", "Al", "Fe", "Al", "Al", "Fe", "Fe", "Al", "Fe", "Fe"],
  "fractional_positions": [[0.344, 0.656, 0.656], [0.500, 0.761, 0.239], [0.000, 0.000, 0.000], [0.656, 0.344, 0.344], [0.000, 0.335, 0.665], [0.500, 0.239, 0.761], [0.000, 0.665, 0.335], [0.315, 0.185, 0.185], [0.500, 0.000, 0.500], [0.500, 0.500, 0.000], [0.685, 0.815, 0.815], [0.000, 0.000, 0.500], [0.000, 0.500, 0.000]]
}